DFT (PBE) results for an optimized crystal structure of Ac2Zn3SnAu4.

Computed properties:
For the formation energy, the calculation gives -581 meV/atom. The crystal system is tetragonal. The total magnetic moment is 0.00 μB per formula unit. The electronic total energy comes out at -3.496 eV/atom. Its symmetry is No. 115.

a = 4.576 Å, b = 4.576 Å, c = 10.989 Å
α = 90.00°, β = 90.00°, γ = 90.00°
Fractional coordinates of all 10 atoms:
Au 0.500 0.500 0.000
Au 0.000 0.500 0.355
Au 0.500 0.000 0.645
Au 0.000 0.000 0.000
Ac 0.000 0.500 0.758
Ac 0.500 0.000 0.242
Sn 0.500 0.500 0.500
Zn 0.000 0.000 0.500
Zn 0.000 0.500 0.121
Zn 0.500 0.000 0.879